Entry 1:
Compound: RbNiBi2
Source: Alexandria via LeMat-Bulk
Functional: PBE
Structure: relaxed

POSCAR file:
```
RbNiBi2
1.0
7.592 0.000 0.000
0.000 7.592 0.000
0.000 0.000 7.592
Rb Ni Bi
4 4 8
Cartesian
0.000 0.000 0.000 Rb
0.000 3.796 3.796 Rb
3.796 0.000 3.796 Rb
3.796 3.796 0.000 Rb
0.000 0.000 3.796 Ni
0.000 3.796 0.000 Ni
3.796 0.000 0.000 Ni
3.796 3.796 3.796 Ni
1.898 1.898 1.898 Bi
1.898 1.898 5.694 Bi
1.898 5.694 1.898 Bi
1.898 5.694 5.694 Bi
5.694 1.898 1.898 Bi
5.694 1.898 5.694 Bi
5.694 5.694 1.898 Bi
5.694 5.694 5.694 Bi
```

The total energy is -3.18 eV per atom. The magnetization comes out at 0.000 μB/f.u. The calculation puts the energy relative to the elements at 0.45 eV/atom. As for the energy above the most stable polymorph in this dataset: 2.27 eV per formula unit.

***

Entry 2:
Compound: PuSnPt
Source: Alexandria via LeMat-Bulk
Functional: PBE
Structure: relaxed

POSCAR file:
```
PuSnPt
1.0
7.519 0.000 0.000
0.000 4.332 0.000
-0.134 0.000 12.627
Pu Sn Pt
6 6 6
Cartesian
0.092 1.083 2.568 Pu
2.725 3.249 7.316 Pu
3.515 3.249 11.106 Pu
3.870 1.083 1.521 Pu
4.660 1.083 5.311 Pu
7.293 3.249 10.059 Pu
0.158 1.083 7.498 Sn
1.110 1.083 12.039 Sn
2.573 3.249 3.683 Sn
4.812 1.083 8.945 Sn
6.276 3.249 0.588 Sn
7.227 3.249 5.129 Sn
1.585 1.083 5.155 Pt
1.675 3.249 1.009 Pt
2.088 1.083 9.452 Pt
5.297 3.249 3.175 Pt
5.710 1.083 11.618 Pt
5.800 3.249 7.472 Pt
```

The total energy is -8.81 eV per atom. The magnetization comes out at 1.884 μB/f.u. The calculation puts the energy relative to the elements at -0.68 eV/atom.

***

Entry 3:
Compound: KZn2Ni
Source: Alexandria via LeMat-Bulk
Functional: PBE
Structure: relaxed

POSCAR file:
```
KZn2Ni
1.0
5.105 0.000 0.000
0.000 5.105 0.000
0.000 0.000 2.868
K Zn Ni
1 2 1
Cartesian
0.000 0.000 0.000 K
0.000 2.553 1.434 Zn
2.553 0.000 1.434 Zn
2.553 2.553 0.000 Ni
```

The total energy is -1.80 eV per atom. The magnetization comes out at 0.000 μB/f.u. The calculation puts the energy relative to the elements at 0.56 eV/atom. As for the energy above the most stable polymorph in this dataset: 2.24 eV per formula unit.

***

Entry 4:
Compound: La8Nd4Ho
Source: Alexandria via LeMat-Bulk
Functional: PBE
Structure: relaxed

POSCAR file:
```
La8Nd4Ho
1.0
5.962 3.442 3.999
-5.962 3.442 3.999
0.000 -6.884 3.999
La Nd Ho
8 4 1
Cartesian
0.000 -3.453 4.049 La
-2.991 1.727 4.049 La
0.000 0.000 2.850 La
-2.991 -1.727 7.947 La
2.991 1.727 4.049 La
0.000 0.000 9.146 La
2.991 -1.727 7.947 La
0.000 3.453 7.947 La
0.000 0.000 0.000 Nd
-2.981 -1.721 3.999 Nd
-2.981 1.721 7.997 Nd
0.000 3.442 3.999 Nd
0.000 0.000 5.998 Ho
```

The total energy is -4.50 eV per atom. The magnetization comes out at 0.002 μB/f.u. The calculation puts the energy relative to the elements at 0.35 eV/atom.

***

Entry 5:
Compound: K2NpRh2O6
Source: Alexandria via LeMat-Bulk
Functional: PBE
Structure: relaxed

POSCAR file:
```
K2NpRh2O6
1.0
2.721 -4.812 0.000
2.721 4.812 0.000
-2.119 0.000 6.361
K Np Rh O
2 1 2 6
Cartesian
2.721 3.177 0.000 K
2.721 -3.177 0.000 K
-1.060 0.000 3.181 Np
1.661 1.595 3.181 Rh
1.661 -1.595 3.181 Rh
-0.149 1.664 4.315 O
0.828 0.000 2.036 O
-0.149 -1.664 4.315 O
3.472 1.664 2.047 O
2.494 0.000 4.325 O
3.472 -1.664 2.047 O
```

The formation energy (no corrections) is -1.6159 eV/atom. The total energy is -7.03 eV per atom. The magnetization comes out at 3.027 μB/f.u.

***

Entry 6:
Compound: TcPtC2I
Source: Alexandria via LeMat-Bulk
Functional: PBE
Structure: relaxed

POSCAR file:
```
TcPtC2I
1.0
4.126 0.000 0.000
0.000 4.126 0.000
0.000 0.000 5.115
Tc Pt C I
1 1 2 1
Cartesian
0.000 0.000 0.000 Tc
2.063 2.063 0.000 Pt
0.000 2.063 2.558 C
2.063 0.000 2.558 C
0.000 0.000 2.558 I
```

The formation energy (no corrections) is 3.1806 eV/atom. The total energy is -4.10 eV per atom. The magnetization comes out at 1.634 μB/f.u.